Entry 1:
Material: FeIr2Pb
Method: DFT, PBE
State: relaxed

abc: 4.154 4.154 7.535
angles: 90.00 90.00 90.00
Element x y z (fractional)
Fe (0.000, 0.000, 0.000)
Fe (0.500, 0.500, 0.500)
Ir (0.000, 0.500, 0.250)
Ir (0.000, 0.500, 0.750)
Ir (0.500, 0.000, 0.250)
Ir (0.500, 0.000, 0.750)
Pb (0.000, 0.000, 0.500)
Pb (0.500, 0.500, 0.000)

Computed properties:
space group	I4/mmm (139)


Entry 2:
Material: Fe2IrPb
Method: DFT, PBE
State: relaxed

abc: 4.025 4.025 7.652
angles: 90.00 90.00 90.00
Element x y z (fractional)
Fe (0.000, 0.000, 0.000)
Fe (0.000, 0.500, 0.250)
Fe (0.500, 0.000, 0.750)
Fe (0.500, 0.500, 0.500)
Ir (0.000, 0.500, 0.750)
Ir (0.500, 0.000, 0.250)
Pb (0.000, 0.000, 0.500)
Pb (0.500, 0.500, 0.000)

Computed properties:
space group	I-4m2 (119)


Entry 3:
Material: Fe2IrPb
Method: DFT, PBE
State: relaxed

abc: 8.760 3.041 4.968
angles: 90.00 102.81 90.00
Element x y z (fractional)
Fe (0.000, 0.000, 0.000)
Fe (0.224, 0.500, 0.200)
Fe (0.500, 0.500, 0.000)
Fe (0.724, 0.000, 0.200)
Ir (0.258, 0.000, 0.789)
Ir (0.758, 0.500, 0.789)
Pb (0.492, 0.000, 0.486)
Pb (0.992, 0.500, 0.486)

Computed properties:
space group	Cm (8)


Entry 4:
Material: FeIr2Pb
Method: DFT, PBE
State: relaxed

abc: 6.393 6.393 6.393
angles: 90.00 90.00 90.00
Element x y z (fractional)
Fe (0.000, 0.000, 0.000)
Fe (0.000, 0.500, 0.500)
Fe (0.500, 0.000, 0.500)
Fe (0.500, 0.500, 0.000)
Ir (0.000, 0.000, 0.500)
Ir (0.000, 0.500, 0.000)
Ir (0.250, 0.250, 0.750)
Ir (0.250, 0.750, 0.250)
Ir (0.500, 0.000, 0.000)
Ir (0.500, 0.500, 0.500)
Ir (0.750, 0.250, 0.250)
Ir (0.750, 0.750, 0.750)
Pb (0.250, 0.250, 0.250)
Pb (0.250, 0.750, 0.750)
Pb (0.750, 0.250, 0.750)
Pb (0.750, 0.750, 0.250)

Computed properties:
space group	F-43m (216)


Entry 5:
Material: FeIr2Pb
Method: DFT, PBE
State: relaxed

abc: 4.035 4.035 7.957
angles: 90.00 90.00 90.00
Element x y z (fractional)
Fe (0.000, 0.000, 0.000)
Fe (0.500, 0.500, 0.500)
Ir (0.000, 0.000, 0.500)
Ir (0.000, 0.500, 0.250)
Ir (0.500, 0.000, 0.750)
Ir (0.500, 0.500, 0.000)
Pb (0.000, 0.500, 0.750)
Pb (0.500, 0.000, 0.250)

Computed properties:
space group	I-4m2 (119)


Entry 6:
Material: FeIr2PdPb
Method: DFT, PBE
State: relaxed

abc: 4.458 4.458 4.903
angles: 90.00 90.00 90.00
Element x y z (fractional)
Fe (0.000, 0.000, 0.000)
Ir (0.000, 0.500, 0.000)
Ir (0.500, 0.000, 0.000)
Pd (0.500, 0.500, 0.500)
Pb (0.000, 0.000, 0.500)

Computed properties:
space group	P4/mmm (123)


Entry 7:
Material: FeReIrPb2
Method: DFT, PBE
State: relaxed

abc: 5.168 5.168 4.805
angles: 90.00 90.00 90.00
Element x y z (fractional)
Fe (0.000, 0.000, 0.000)
Re (0.500, 0.500, 0.000)
Ir (0.000, 0.000, 0.500)
Pb (0.000, 0.500, 0.500)
Pb (0.500, 0.000, 0.500)

Computed properties:
space group	P4/mmm (123)


Entry 8:
Material: FeIr2RhPb
Method: DFT, PBE
State: relaxed

abc: 4.933 4.933 4.799
angles: 90.00 90.00 90.00
Element x y z (fractional)
Fe (0.000, 0.000, 0.000)
Ir (0.000, 0.500, 0.500)
Ir (0.500, 0.000, 0.500)
Rh (0.500, 0.500, 0.000)
Pb (0.000, 0.000, 0.500)

Computed properties:
space group	P4/mmm (123)


DOS at the Fermi energy, record by record: 0.697 0.567 0.725 1.453 1.329 0.959 1.115 1.762 states/eV per atom
Electronic total energy, record by record: -57.1 -56.1 -55.9 -110.9 -56.1 -29.5 -29.1 -25.8 eV per cell